1.
# AcTmTaO6 | the Alexandria database | GGA-PBE | relaxed
# E_form (uncorrected), eV/atom: -2.9890
data_AcTmTaO6
_chemical_formula_sum 'Ac2 Tm2 Ta2 O12'
_cell_length_a 5.153
_cell_length_b 5.153
_cell_length_c 10.458
_cell_angle_alpha 90.00
_cell_angle_beta 90.00
_cell_angle_gamma 90.00
_space_group_name_H-M_alt 'P 42 n m'
_space_group_IT_number 102
_space_group_name_Hall 'P 4n -2n'
loop_
_atom_site_label
_atom_site_fract_x
_atom_site_fract_y
_atom_site_fract_z
Ac1 0.000 0.000 0.000
Tm1 0.000 0.000 0.333
Ta1 0.000 0.000 0.666
O1 0.170 0.170 0.512
O2 0.196 0.196 0.799
O3 0.225 0.225 0.184


2.
# AcUTa2O8 | the Alexandria database | GGA-PBE | relaxed
# E_form (uncorrected), eV/atom: -3.0009
data_AcUTa2O8
_chemical_formula_sum 'Ac2 U2 Ta4 O16'
_cell_length_a 5.462
_cell_length_b 5.462
_cell_length_c 11.766
_cell_angle_alpha 90.00
_cell_angle_beta 90.00
_cell_angle_gamma 90.00
_space_group_name_H-M_alt 'I -4'
_space_group_IT_number 82
_space_group_name_Hall 'I -4'
loop_
_atom_site_label
_atom_site_fract_x
_atom_site_fract_y
_atom_site_fract_z
Ac1 0.000 0.000 0.000
U1 0.000 0.500 0.750
Ta1 0.000 0.000 0.500
Ta2 0.000 0.500 0.250
O1 0.153 0.246 0.588
O2 0.173 0.746 0.169